No. 1
This record from the Alexandria database describes CaAcHoPb after structural relaxation. The functional is GGA-PBE.

Geometry as CIF:
```
data_CaAcHoPb
_space_group_name_H-M_alt 'F -4 3 m'
_space_group_IT_number 216
_space_group_name_Hall 'F -4 2 3'
_cell_length_a 8.121
_cell_length_b 8.121
_cell_length_c 8.121
_cell_angle_alpha 90.00
_cell_angle_beta 90.00
_cell_angle_gamma 90.00
loop_
_atom_site_label
_atom_site_type_symbol
_atom_site_fract_x
_atom_site_fract_y
_atom_site_fract_z
Ca1 Ca 0.000 0.000 0.000
Ac1 Ac 0.250 0.250 0.250
Ho1 Ho 0.000 0.000 0.500
Pb1 Pb 0.250 0.250 0.750
```

## Properties
DOS(E_F) = 27.2 states/eV/cell
E_form = -0.0076 eV/atom
Magnetic moment = 0.276 μB/atom

***

No. 2
This record from the Alexandria database describes Rb2PuO2F4 after structural relaxation. The functional is GGA-PBE.

Geometry as CIF:
```
data_Rb2PuO2F4
_space_group_name_H-M_alt 'C 1 2/m 1'
_space_group_IT_number 12
_space_group_name_Hall '-C 2y'
_cell_length_a 10.756
_cell_length_b 6.513
_cell_length_c 4.882
_cell_angle_alpha 90.00
_cell_angle_beta 91.60
_cell_angle_gamma 90.00
loop_
_atom_site_label
_atom_site_type_symbol
_atom_site_fract_x
_atom_site_fract_y
_atom_site_fract_z
Rb1 Rb 0.161 0.000 0.305
Pu1 Pu 0.000 0.500 0.000
O1 O 0.132 0.500 0.238
F1 F 0.092 0.250 0.782
```

## Properties
DOS(E_F) = 9.4 states/eV/cell
Energy relative to the elements, uncorrected = -2.86 eV/atom
Magnetic moment = 0.222 μB/atom